Record 1
The following is a PBEsol calculation of a relaxed Sc2BeAu crystal, from Alexandria.

Unit cell a=3.021 b=3.021 c=9.557 alpha=80.91 beta=80.91 gamma=60.00
Positions (direct):
1 Sc 0.902 0.902 0.293
2 Sc 0.098 0.098 0.707
3 Au 0.000 0.000 0.000
4 Be 0.500 0.500 0.500

Properties
The formation enthalpy at 0 K is 0.95 eV per formula unit.

Record 2
The following is a PBEsol calculation of a relaxed AlTeOs2 crystal, from Alexandria.

Unit cell a=4.434 b=4.434 c=4.434 alpha=60.00 beta=60.00 gamma=60.00
Positions (direct):
1 Al 0.000 0.000 0.000
2 Os 0.250 0.250 0.250
3 Os 0.750 0.750 0.750
4 Te 0.500 0.500 0.500

Number 1: DFT total energy -20.187 eV/cell. Number 2: DFT total energy -30.786 eV/cell.